1.
MgMoRu2 (GGA-PBE, relaxed); theoretical density = 8.863 g/cm3; formation energy from the elements = 1.258 eV/f.u.; M_tot = 0.0 μB/f.u.; density of states at the Fermi level = 4.113 states/eV per cell
1.0
3.125 0.000 0.000
0.000 4.152 0.000
0.000 0.000 4.655
Mg Mo Ru
1 1 2
Cartesian
0.000 0.000 0.000 Mg
1.562 0.000 2.328 Mo
0.000 2.076 2.328 Ru
1.562 2.076 0.000 Ru

---

2.
Ac2GaAu (GGA-PBE, relaxed); theoretical density = 9.597 g/cm3; formation energy from the elements = -2.447 eV/f.u.; M_tot = 0.0 μB/f.u.; density of states at the Fermi level = 9.356 states/eV per cell
1.0
6.348 0.000 0.000
0.000 4.739 0.000
-3.051 0.000 8.290
Ac Ga Au
4 2 2
Cartesian
-0.021 1.185 3.505 Ac
1.629 3.555 0.553 Ac
1.668 1.185 7.737 Ac
3.318 3.555 4.786 Ac
0.192 3.555 5.870 Ga
3.105 1.185 2.420 Ga
-1.502 1.185 6.552 Au
4.799 3.555 1.739 Au

---

- Number 2 is which compound?
  Ac2GaAu